[1]
VASP calculation (SCAN) on a PBEsol-optimized structure of Sr2PPt.

```
Sr2PPt
1.0
-0.117 -0.847 -4.278
0.411 -4.441 0.868
-5.347 1.789 -0.208
Pt Sr P
1 2 1
direct
0.500 0.674 0.348
0.500 0.979 0.959
0.000 0.270 0.540
0.000 0.577 0.153
```

Computed properties:
The spin magnetization comes out at 0.00 Bohr magnetons per cell. As for the space-group type: Amm2. The value obtained for the electronic total energy is -32.348 eV/atom.


[2]
VASP calculation (SCAN) on a PBEsol-optimized structure of Sr2TaMo.

```
Sr2TaMo
1.0
5.327 0.000 0.000
2.664 4.613 0.000
2.664 1.538 4.350
Sr Mo Ta
2 1 1
direct
0.750 0.750 0.750
0.250 0.250 0.250
0.000 0.000 0.000
0.500 0.500 0.500
```

Computed properties:
The spin magnetization comes out at 0.31 Bohr magnetons per cell. As for the space-group type: Fm-3m. The value obtained for the energy above the most stable polymorph in this dataset is 298 kJ/mol of formula units. The value obtained for the electronic total energy is -35.012 eV/atom.


[3]
VASP calculation (SCAN) on a PBEsol-optimized structure of Mg2ReSi.

```
Mg2ReSi
1.0
-1.869 0.063 2.837
-1.470 -3.714 -0.886
3.300 -1.834 2.215
Re Mg Si
1 2 1
direct
0.500 0.000 0.500
0.500 0.500 0.000
0.000 0.000 0.000
0.000 0.500 0.500
```

Computed properties:
The spin magnetization comes out at 0.00 Bohr magnetons per cell. As for the space-group type: Pmmm. The raw formation energy is 25.11 kJ/mol of atoms. The value obtained for the electronic total energy is -22.505 eV/atom.